Entry 1:
A plane-wave DFT calculation with GGA-PBE was carried out for a geometry-optimized Mg2InNiSn structure.

Geometry as CIF:
```
data_Mg2InNiSn
_cell_length_a 4.967
_cell_length_b 4.967
_cell_length_c 4.786
_cell_angle_alpha 90.00
_cell_angle_beta 90.00
_cell_angle_gamma 90.00
_space_group_name_H-M_alt 'P 4/m m m'
_space_group_IT_number 123
_space_group_name_Hall '-P 4 2'
loop_
_atom_site_label
_atom_site_fract_x
_atom_site_fract_y
_atom_site_fract_z
_atom_site_occupancy
Mg1 0.000 0.500 0.000 1
In1 0.000 0.000 0.500 1
Ni1 0.500 0.500 0.000 1
Sn1 0.500 0.500 0.500 1
```

DOS at the Fermi energy = 2.57 states/eV per cell
VASP energy = -15.97 eV per cell
Energy relative to the elements = -0.052 eV per atom
Total magnetization = 0.00 μB/atom

Entry 2:
A plane-wave DFT calculation with GGA-PBE was carried out for a geometry-optimized ThH4Pd5 structure.

Geometry as CIF:
```
data_ThH4Pd5
_cell_length_a 5.867
_cell_length_b 8.228
_cell_length_c 5.011
_cell_angle_alpha 90.00
_cell_angle_beta 90.00
_cell_angle_gamma 90.00
_space_group_name_H-M_alt 'P m m n'
_space_group_IT_number 59
loop_
_space_group_symop_operation_xyz
'x,y,z'
'-x,-y,-z'
'-x+1/2,-y+1/2,z'
'x+1/2,y+1/2,-z'
'x+1/2,-y,-z'
'-x+1/2,y,z'
'-x,y+1/2,-z'
'x,-y+1/2,z'
loop_
_atom_site_label
_atom_site_fract_x
_atom_site_fract_y
_atom_site_fract_z
_atom_site_occupancy
Th1 0.250 0.250 0.234 1
H1 0.059 0.750 0.448 1
H2 0.250 0.531 0.917 1
Pd1 0.000 0.077 0.756 1
Pd2 0.250 0.750 0.778 1
```

DOS at the Fermi energy = 4.24 states/eV per cell
VASP energy = -100.61 eV per cell
Total magnetization = 0.00 μB/atom